20
Lattice="-5.1839 0.8133 1.7184 -1.7854 -4.1744 -3.4104 1.0440 -5.3124 5.9560" Properties=species:S:1:pos:R:3 comment="ZnRhPb2O6 (PBE, relaxed)" m_tot_mub_per_cell=0.0 dft_energy_ev_per_atom=-5.539 raw_formation_energy_ev_per_fu=-9.59 vol_a3_per_atom=12.62 space_group="No. 14" pbc="T T T"
O -2.9333 -7.5636 1.8259
O -5.3384 -2.8435 1.0611
O -3.2265 -5.6897 5.8164
O -2.4028 -5.0492 0.6745
O -2.9920 -1.1099 2.4380
O -2.6989 -2.9838 -1.5525
O -0.5869 -5.8300 3.2029
O -4.9476 -5.6513 1.9432
O -4.5963 -7.5877 4.2756
O -1.3290 -1.0858 -0.0116
O -3.5225 -3.6243 3.5895
O -0.9777 -3.0222 2.3207
Pb -4.3950 -3.3715 5.9579
Pb -1.5304 -5.3020 -1.6939
Pb -3.0403 -2.7943 0.7544
Pb -2.8850 -5.8792 3.5096
Zn -2.5919 0.4066 0.8592
Zn -0.3707 -4.7434 1.2728
Rh -2.0700 -2.2496 3.8372
Rh -0.8927 -2.0872 -1.7052